! PBE with a Hubbard U Fe3MoO, optimized geometry; values from VASP
&SYSTEM
  ibrav = 0, nat = 5, ntyp = 3
/
ATOMIC_SPECIES
Fe 55.84 Fe.upf
Mo 95.94 Mo.upf
O 16.00 O.upf
CELL_PARAMETERS angstrom
4.294 0.000 0.000
0.000 4.294 0.000
0.000 0.000 4.294
ATOMIC_POSITIONS crystal
Fe 0.000 0.000 0.500
Fe 0.000 0.500 0.000
Fe 0.500 0.000 0.000
Mo 0.500 0.500 0.500
O 0.000 0.000 0.000
! Size of the total moment = 14.8 Bohr magnetons per cell
! ΔE to the lowest computed polymorph = 0.000 eV per atom
! Crystal system = cubic
! E_tot = -5.351 eV per atom